(1)
## CaZn2 (PBE)

Data for CaZn2 after structural relaxation.

a = 6.303 Å, b = 6.303 Å, c = 6.303 Å
α = 132.48°, β = 132.48°, γ = 69.47°
Fractional coordinates of all 6 atoms:
Zn: 0.327 0.173 0.500
Zn: 0.827 0.327 0.153
Zn: 0.173 0.673 0.847
Zn: 0.673 0.827 0.500
Ca: 0.750 0.750 0.000
Ca: 0.250 0.250 0.000

## Properties
The energy is -9.843 eV/cell. As for the crystal system: tetragonal. The density of states at the Fermi level is 2.52 states/eV per cell.


(2)
## Ca2Zn3 (PBE)

Data for Ca2Zn3 after structural relaxation.

a = 7.394 Å, b = 7.394 Å, c = 7.394 Å
α = 35.81°, β = 35.81°, γ = 35.81°
Fractional coordinates of all 5 atoms:
Ca: 0.587 0.587 0.587
Ca: 0.413 0.413 0.413
Zn: 0.835 0.835 0.835
Zn: 0.000 0.000 0.000
Zn: 0.165 0.165 0.165

## Properties
The energy is -8.801 eV/cell. As for the crystal system: trigonal. The density of states at the Fermi level is 2.99 states/eV per cell.


(3)
## Ca6Zn5 (PBE)

Data for Ca6Zn5 after structural relaxation.

a = 5.226 Å, b = 7.289 Å, c = 8.999 Å
α = 113.89°, β = 106.88°, γ = 90.00°
Fractional coordinates of all 11 atoms:
Ca: 0.834 0.584 0.668
Ca: 0.166 0.916 0.332
Ca: 0.500 0.749 0.000
Ca: 0.834 0.084 0.668
Ca: 0.500 0.251 0.000
Ca: 0.166 0.416 0.332
Zn: 0.668 0.668 0.336
Zn: 0.329 0.829 0.657
Zn: 0.000 0.500 0.000
Zn: 0.332 0.332 0.664
Zn: 0.671 0.171 0.343

## Properties
The energy is -20.418 eV/cell. As for the crystal system: orthorhombic. The density of states at the Fermi level is 10.38 states/eV per cell.


(4)
## CaZn2 (PBE)

Data for CaZn2 after structural relaxation.

a = 5.630 Å, b = 5.630 Å, c = 8.842 Å
α = 90.00°, β = 90.00°, γ = 120.00°
Fractional coordinates of all 12 atoms:
Zn: 0.167 0.334 0.750
Zn: 0.666 0.833 0.750
Zn: 0.000 0.000 0.500
Zn: 0.167 0.833 0.750
Zn: 0.000 0.000 0.000
Zn: 0.833 0.666 0.250
Zn: 0.334 0.167 0.250
Zn: 0.833 0.167 0.250
Ca: 0.667 0.333 0.941
Ca: 0.333 0.667 0.059
Ca: 0.667 0.333 0.559
Ca: 0.333 0.667 0.441

## Properties
The energy is -21.396 eV/cell. As for the crystal system: hexagonal. The density of states at the Fermi level is 6.95 states/eV per cell.


(5)
## CaZn2 (PBE)

Data for CaZn2 after structural relaxation.

a = 6.740 Å, b = 6.740 Å, c = 6.740 Å
α = 145.90°, β = 127.98°, γ = 63.68°
Fractional coordinates of all 6 atoms:
Ca: 0.320 0.320 0.000
Ca: 0.680 0.680 0.000
Zn: 0.244 0.000 0.244
Zn: 0.888 0.388 0.500
Zn: 0.112 0.612 0.500
Zn: 0.756 0.000 0.756

## Properties
The energy is -10.263 eV/cell. As for the crystal system: orthorhombic. The density of states at the Fermi level is 3.39 states/eV per cell.


(6)
## CaZn2 (PBE)

Data for CaZn2 after structural relaxation.

a = 8.387 Å, b = 8.387 Å, c = 8.387 Å
α = 151.09°, β = 151.17°, γ = 41.29°
Fractional coordinates of all 6 atoms:
Zn: 0.544 0.794 0.750
Zn: 0.294 0.044 0.250
Zn: 0.706 0.956 0.750
Zn: 0.456 0.206 0.250
Ca: 0.875 0.625 0.250
Ca: 0.125 0.375 0.750

## Properties
The energy is -10.584 eV/cell. As for the crystal system: orthorhombic. The density of states at the Fermi level is 4.36 states/eV per cell.


(7)
## Ca4Zn5 (PBE)

Data for Ca4Zn5 after structural relaxation.

a = 9.077 Å, b = 9.077 Å, c = 6.289 Å
α = 90.00°, β = 90.00°, γ = 120.00°
Fractional coordinates of all 18 atoms:
Zn: 0.300 0.300 0.250
Zn: 0.700 0.000 0.250
Zn: 0.700 0.700 0.750
Zn: 0.000 0.300 0.750
Zn: 0.300 0.000 0.750
Zn: 0.667 0.333 0.500
Zn: 0.333 0.667 0.500
Zn: 0.000 0.700 0.250
Zn: 0.667 0.333 0.000
Zn: 0.333 0.667 0.000
Ca: 0.000 0.000 0.500
Ca: 0.631 0.631 0.250
Ca: 0.631 0.000 0.750
Ca: 0.369 0.369 0.750
Ca: 0.000 0.000 0.000
Ca: 0.000 0.369 0.250
Ca: 0.000 0.631 0.750
Ca: 0.369 0.000 0.250

## Properties
The energy is -30.625 eV/cell. As for the crystal system: hexagonal. The density of states at the Fermi level is 15.59 states/eV per cell.


(8)
## Ca2Zn3 (PBE)

Data for Ca2Zn3 after structural relaxation.

a = 4.322 Å, b = 4.322 Å, c = 8.056 Å
α = 90.00°, β = 90.00°, γ = 120.00°
Fractional coordinates of all 5 atoms:
Zn: 0.333 0.667 0.083
Zn: 0.000 0.000 0.000
Zn: 0.667 0.333 0.917
Ca: 0.667 0.333 0.306
Ca: 0.333 0.667 0.694

## Properties
The energy is -8.641 eV/cell. As for the crystal system: trigonal. The density of states at the Fermi level is 3.87 states/eV per cell.


Q: Which spin magnetization values were calculated for the entries above? A: 0.00; 0.00; 0.00; 0.00; 0.00; 0.00; 0.00; 0.00, in μB per cell.